A plane-wave DFT calculation with GGA-PBE was carried out for an optimized crystal structure of Ca2PrBr.

Results
- Raw formation energy: -591.8 meV/atom
- E above lowest polymorph: 0.098 eV per atom
- Spin magnetization: 0.00 μB per formula unit
- DFT total energy: -0.2356 Ry per atom

Lattice parameters (Å, degrees): 3.671 3.671 10.074 90.00 90.00 90.00
Atoms (fractional coordinates):
Ca  0.000  0.000  0.778
Ca  0.000  0.000  0.222
Pr  0.500  0.500  0.500
Br  0.500  0.500  0.000